# CoHgOs3

An optimized crystal structure of CoHgOs3 (PBE, Alexandria via LeMat-Bulk).

- formation energy (eV per atom) = 1.889
- crystal system = cubic
- DOS(E_F) (states/eV per atom) = 1.905
- total magnetic moment (μB/f.u.) = 1.23

abc: 4.4543 4.4543 4.4543
angles: 90.00 90.00 90.00
Last column: nearest neighbours and their distance in Å.
Space group Pm-3m (No. 221)
One atom of each set of equivalent atoms:
Co 0.0000 0.0000 0.0000 x1  6 Os 2.23
Hg 0.5000 0.5000 0.5000 x1  12 Os 3.15
Os 0.0000 0.0000 0.5000 x3  2 Co 2.23